Density functional theory data (PBE with a Hubbard U) for a relaxed Mn2CuCl2O2 crystal.

Cell lengths 5.9346, 5.9346, 6.0739 Å; angles 90.42, 90.42, 33.82 degrees
Last column: nearest neighbours and their distance in Å.
Atoms (fractional coordinates):
Mn 0.2306 0.2306 0.2830  3 O 2.12-2.17
Mn 0.7694 0.7694 0.7170  3 O 2.12-2.17
Cu 0.5000 0.5000 0.5000  2 O 1.81
Cl 0.1316 0.1316 0.9035  3 Mn 2.56-2.60
Cl 0.8684 0.8684 0.0965  3 Mn 2.56-2.60
O 0.3452 0.3452 0.5716  1 Cu 1.81
O 0.6548 0.6548 0.4284  1 Cu 1.81

Properties
Space group   No. 12
E_tot   -40.79 eV/f.u.